[1]
First-principles (PBE) data for a relaxed structure of CaSb2HCl, as listed in the Alexandria database.

a b c (Å): 4.3273 6.3385 4.3273
angles (deg): 90.00 90.00 90.00
Fractional coordinates of all 5 atoms:
Sb (0.0000, 0.0000, 0.5000)
Sb (0.5000, 0.0000, 0.0000)
Ca (0.0000, 0.5000, 0.0000)
H (0.0000, 0.0000, 0.0000)
Cl (0.5000, 0.5000, 0.5000)

Values from the calculation:
Uncorrected energy: -3.502 eV per atom
Symmetry: P4/mmm (123)

=====

[2]
First-principles (PBE) data for a relaxed structure of Ce2Pu2Si4Pt, as listed in the Alexandria database.

a b c (Å): 6.4654 6.4654 6.4654
angles (deg): 97.32 115.87 115.87
Last column: magnetic moment on the atom in μB.
Fractional coordinates of all 9 atoms:
Ce (0.5000, 0.7500, 0.2500)  0.73
Ce (0.5000, 0.2500, 0.7500)  0.73
Pu (0.0000, 0.6695, 0.6695)  5.31
Pu (0.0000, 0.3305, 0.3305)  5.31
Si (0.0000, 0.7542, 0.2458)  -0.05
Si (0.5084, 0.7542, 0.7542)  -0.05
Si (0.0000, 0.2458, 0.7542)  -0.05
Si (0.4916, 0.2458, 0.2458)  -0.05
Pt (0.0000, 0.0000, 0.0000)  -0.04

Values from the calculation:
Formation energy (no corrections): -391 meV/atom
Uncorrected energy: -7.976 eV per atom
Symmetry: I4/mmm (139)

=====

Copy entry 1 word for word.
First-principles (PBE) data for a relaxed structure of CaSb2HCl, as listed in the Alexandria database.

a b c (Å): 4.3273 6.3385 4.3273
angles (deg): 90.00 90.00 90.00
Fractional coordinates of all 5 atoms:
Sb (0.0000, 0.0000, 0.5000)
Sb (0.5000, 0.0000, 0.0000)
Ca (0.0000, 0.5000, 0.0000)
H (0.0000, 0.0000, 0.0000)
Cl (0.5000, 0.5000, 0.5000)

Values from the calculation:
Uncorrected energy: -3.502 eV per atom
Symmetry: P4/mmm (123)